Here is an optimized crystal structure of MnSi2O5 from Alexandria. Energies are from GGA+U.

a = 5.234 Å, b = 5.234 Å, c = 6.673 Å
α = 105.13°, β = 105.13°, γ = 103.62°
Element x y z (fractional)
Mn 0.181 0.819 0.750
Mn 0.819 0.181 0.250
Si 0.174 0.826 0.250
Si 0.500 0.500 0.000
Si 0.500 0.500 0.500
Si 0.826 0.174 0.750
O 0.151 0.246 0.902
O 0.206 0.626 0.403
O 0.246 0.151 0.402
O 0.374 0.794 0.097
O 0.436 0.564 0.750
O 0.564 0.436 0.250
O 0.626 0.206 0.903
O 0.754 0.849 0.598
O 0.794 0.374 0.597
O 0.849 0.754 0.098

**M_tot**: 0.62 μB/atom
**V**: 161 Å³/cell
**SG**: C2/c
**VASP energy**: -0.288 Ha/atom